[1]
DFT (PBE) results for a relaxed YTaP2O crystal.

The space group is P4/mmm (No. 123) and the conventional cell measures 4.498, 4.498 and 4.153 Å, with angles of 90.00, 90.00 and 90.00 degrees. The asymmetric unit holds Y at (0.000, 0.000, 0.000), Ta at (0.500, 0.500, 0.000), P at (0.000, 0.500, 0.500) and O at (0.000, 0.000, 0.500).

The density is 6.87 Mg/m³. Its density of states at the Fermi level is 0.754 states/eV/atom. The energy relative to the lowest polymorph listed for this composition comes out at 1068 meV/atom.

***

[2]
DFT (PBE) results for a relaxed Hg2IrPb crystal.

The space group is Cmmm (No. 65) and the conventional cell measures 3.140, 5.443 and 10.537 Å, with angles of 90.00, 90.00 and 90.00 degrees. The asymmetric unit holds Hg at (0.000, 0.000, 0.219), Ir at (0.000, 0.500, 0.000) and Pb at (0.000, 0.500, 0.500).

The density is 14.77 Mg/m³. Its density of states at the Fermi level is 0.492 states/eV/atom. Its formation enthalpy at 0 K is 504.7 meV/atom.

***

[3]
DFT (PBE) results for a relaxed BaAl2Cd crystal.

The space group is C2/m (No. 12) and the conventional cell measures 8.028, 4.637 and 6.753 Å, with angles of 90.00, 113.27 and 90.00 degrees. The asymmetric unit holds Ba at (0.000, 0.000, 0.000), Al at (0.207, 0.000, 0.622) and Cd at (0.000, 0.500, 0.500).

The density is 4.37 Mg/m³. Its density of states at the Fermi level is 0.654 states/eV/atom. Its formation enthalpy at 0 K is -117.9 meV/atom.

***

[4]
DFT (PBE) results for a relaxed Te2MoH crystal.

The space group is Cm (No. 8) and the conventional cell measures 5.966, 3.440 and 8.047 Å, with angles of 90.00, 103.75 and 90.00 degrees. The asymmetric unit holds Te at (0.000, 0.000, 0.000), Te at (0.164, 0.000, 0.513), Mo at (0.249, 0.500, 0.256) and H at (0.416, 0.000, 0.257).

The density is 7.29 Mg/m³. Its density of states at the Fermi level is 0.559 states/eV/atom. The energy relative to the lowest polymorph listed for this composition comes out at 0 meV/atom.

***

[5]
DFT (PBE) results for a relaxed Nd2Pd13 crystal.

The space group is R-3m (No. 166, hexagonal axes) and the conventional cell measures 5.5168, 5.5168 and 33.3727 Å, with angles of 90.00, 90.00 and 120.00 degrees. The asymmetric unit holds Nd at (0.0000, 0.0000, 0.1958), Pd at (0.0000, 0.0000, 0.5000), Pd at (0.0013, 0.5007, 0.9614) and Pd at (0.0113, 0.5057, 0.7702).

The density is 9.47 Mg/m³. Its density of states at the Fermi level is 1.033 states/eV/atom. Its formation enthalpy at 0 K is -112.8 meV/atom.

***

[6]
DFT (PBE) results for a relaxed Os2RuRh crystal.

The space group is R-3m (No. 166, hexagonal axes) and the conventional cell measures 2.7272, 2.7272 and 26.4997 Å, with angles of 90.00, 90.00 and 120.00 degrees. The asymmetric unit holds Os at (0.0000, 0.0000, 0.2489), Ru at (0.0000, 0.0000, 0.5000) and Rh at (0.0000, 0.0000, 0.0000).

The density is 17.06 Mg/m³. Its density of states at the Fermi level is 1.212 states/eV/atom. Its formation enthalpy at 0 K is 124.2 meV/atom. The energy relative to the lowest polymorph listed for this composition comes out at 39 meV/atom.

***

Q: What is the density in the second record?
A: 14.77 Mg/m³

***

Q: Number 2 is which compound?
A: Hg2IrPb

***

Copy entry 3 word for word.
DFT (PBE) results for a relaxed BaAl2Cd crystal.

The space group is C2/m (No. 12) and the conventional cell measures 8.028, 4.637 and 6.753 Å, with angles of 90.00, 113.27 and 90.00 degrees. The asymmetric unit holds Ba at (0.000, 0.000, 0.000), Al at (0.207, 0.000, 0.622) and Cd at (0.000, 0.500, 0.500).

The density is 4.37 Mg/m³. Its density of states at the Fermi level is 0.654 states/eV/atom. Its formation enthalpy at 0 K is -117.9 meV/atom.

***

Please write out number 2 again, unchanged.
DFT (PBE) results for a relaxed Hg2IrPb crystal.

The space group is Cmmm (No. 65) and the conventional cell measures 3.140, 5.443 and 10.537 Å, with angles of 90.00, 90.00 and 90.00 degrees. The asymmetric unit holds Hg at (0.000, 0.000, 0.219), Ir at (0.000, 0.500, 0.000) and Pb at (0.000, 0.500, 0.500).

The density is 14.77 Mg/m³. Its density of states at the Fermi level is 0.492 states/eV/atom. Its formation enthalpy at 0 K is 504.7 meV/atom.